# LiCaCoF6 (PBE+U, relaxed)
# - D(E_F) (states/eV/atom) = 0.000
# - energy above the lowest structure with this stoichiometry (meV per atom) = 0.0
# - ρ (Mg/m³) = 3.3
data_LiCaCoF6
_chemical_formula_sum 'Li2 Ca2 Co2 F12'
_space_group_name_H-M_alt 'P 1'
_space_group_IT_number 1
_space_group_name_Hall 'P 1'
_cell_length_a 5.0955
_cell_length_b 5.0955
_cell_length_c 9.8027
_cell_angle_alpha 90.00
_cell_angle_beta 90.00
_cell_angle_gamma 120.00
loop_
_atom_site_label
_atom_site_type_symbol
_atom_site_fract_x
_atom_site_fract_y
_atom_site_fract_z
F1 F 0.6538 0.0254 0.3583
F2 F 0.0254 0.6538 0.8583
F3 F 0.3462 0.9746 0.6417
F4 F 0.9746 0.6284 0.3583
F5 F 0.6284 0.6538 0.6417
F6 F 0.3716 0.0254 0.1417
F7 F 0.6538 0.6284 0.1417
F8 F 0.6284 0.9746 0.8583
F9 F 0.0254 0.3716 0.6417
F10 F 0.3462 0.3716 0.8583
F11 F 0.3716 0.3462 0.3583
F12 F 0.9746 0.3462 0.1417
Co1 Co 0.3333 0.6667 0.7500
Co2 Co 0.6667 0.3333 0.2500
Ca1 Ca 0.0000 0.0000 0.0000
Ca2 Ca 0.0000 0.0000 0.5000
Li1 Li 0.6667 0.3333 0.7500
Li2 Li 0.3333 0.6667 0.2500